# V2CoHg2Se6 | Alexandria via LeMat-Bulk | PBE | optimized geometry
# - energy relative to the elements, uncorrected (eV/atom) = -0.43
# - DOS at the Fermi energy (states/eV/f.u.) = 5.580
data_V2CoHg2Se6
_space_group_name_H-M_alt 'C 1 2/m 1'
_space_group_IT_number 12
_space_group_name_Hall '-C 2y'
_cell_length_a 5.888
_cell_length_b 9.876
_cell_length_c 9.906
_cell_angle_alpha 90.00
_cell_angle_beta 107.07
_cell_angle_gamma 90.00
loop_
_atom_site_label
_atom_site_fract_x
_atom_site_fract_y
_atom_site_fract_z
_atom_site_occupancy
V1 0.000 0.193 0.000 1
Co1 0.000 0.500 0.000 1
Hg1 0.000 0.169 0.500 1
Se1 0.089 0.344 0.832 1
Se2 0.094 0.000 0.854 1